[1]
An optimized crystal structure of AsOsPt3. Source: Alexandria via LeMat-Bulk, functional PBE-GGA.

Properties
Excess energy over the best structure of this formula in the dataset, eV per atom: 0.1678
Energy relative to the elements, eV per formula unit: 7.005
Final energy, eV per formula unit: -27.00

Cell lengths 4.8154, 4.8154, 4.8154 Å; angles 90.00, 90.00, 90.00 degrees
Space group Pm-3m (No. 221)
Inequivalent atoms, fractional coordinates:
As (0.0000, 0.0000, 0.0000) (multiplicity 1)
Os (0.5000, 0.5000, 0.5000) (multiplicity 1)
Pt (0.0000, 0.5000, 0.5000) (multiplicity 3)



[2]
An optimized crystal structure of AsRh5. Source: Alexandria via LeMat-Bulk, functional PBE-GGA.

Properties
Energy relative to the elements, eV per formula unit: -0.336
Final energy, eV per formula unit: -41.74

Cell lengths 3.9072, 11.3331, 3.8795 Å; angles 90.00, 90.00, 90.00 degrees
Space group Cmmm (No. 65)
Inequivalent atoms, fractional coordinates:
As (0.0000, 0.0000, 0.0000) (multiplicity 2)
Rh (0.0000, 0.1650, 0.5000) (multiplicity 4)
Rh (0.0000, 0.3363, 0.0000) (multiplicity 4)
Rh (0.0000, 0.5000, 0.5000) (multiplicity 2)